(1)
Entry from Alexandria: ErLuNb after structural relaxation (PBE).

CIF file:
```
data_ErLuNb
_chemical_formula_sum 'Er1 Lu1 Nb1'
_symmetry_space_group_name_H-M 'P 1'
_symmetry_Int_Tables_number 1
_cell_length_a 7.713
_cell_length_b 7.713
_cell_length_c 7.713
_cell_angle_alpha 155.92
_cell_angle_beta 155.92
_cell_angle_gamma 34.32
loop_
_symmetry_equiv_pos_as_xyz
'x,y,z'
loop_
_atom_site_label
_atom_site_type_symbol
_atom_site_fract_x
_atom_site_fract_y
_atom_site_fract_z
Er1 Er 0.000 0.000 0.000
Lu1 Lu 0.704 0.704 0.000
Nb1 Nb 0.350 0.350 0.000
```

E_form: 0.223 eV per atom
density: 9.470 g cm⁻³



(2)
Entry from Alexandria: NdEr2Lu after structural relaxation (PBE).

CIF file:
```
data_NdEr2Lu
_chemical_formula_sum 'Nd1 Er2 Lu1'
_symmetry_space_group_name_H-M 'P 1'
_symmetry_Int_Tables_number 1
_cell_length_a 4.992
_cell_length_b 4.992
_cell_length_c 5.023
_cell_angle_alpha 90.00
_cell_angle_beta 90.00
_cell_angle_gamma 90.00
loop_
_symmetry_equiv_pos_as_xyz
'x,y,z'
loop_
_atom_site_label
_atom_site_type_symbol
_atom_site_fract_x
_atom_site_fract_y
_atom_site_fract_z
Nd1 Nd 0.000 0.000 0.000
Er1 Er 0.000 0.500 0.500
Er2 Er 0.500 0.000 0.500
Lu1 Lu 0.500 0.500 0.000
```

E_form: 0.028 eV per atom
distance to the lowest polymorph of the same formula: 0 meV/atom
density: 8.671 g cm⁻³



(3)
Entry from Alexandria: NdEr2Lu after structural relaxation (PBE).

CIF file:
```
data_NdEr2Lu
_chemical_formula_sum 'Nd1 Er2 Lu1'
_symmetry_space_group_name_H-M 'P 1'
_symmetry_Int_Tables_number 1
_cell_length_a 3.534
_cell_length_b 3.534
_cell_length_c 10.047
_cell_angle_alpha 90.00
_cell_angle_beta 90.00
_cell_angle_gamma 90.00
loop_
_symmetry_equiv_pos_as_xyz
'x,y,z'
loop_
_atom_site_label
_atom_site_type_symbol
_atom_site_fract_x
_atom_site_fract_y
_atom_site_fract_z
Nd1 Nd 0.000 0.000 0.000
Er1 Er 0.500 0.500 0.257
Er2 Er 0.500 0.500 0.743
Lu1 Lu 0.000 0.000 0.500
```

E_form: 0.031 eV per atom
distance to the lowest polymorph of the same formula: 3 meV/atom
density: 8.649 g cm⁻³



(4)
Entry from Alexandria: NdEr2Lu after structural relaxation (PBE).

CIF file:
```
data_NdEr2Lu
_chemical_formula_sum 'Nd1 Er2 Lu1'
_symmetry_space_group_name_H-M 'P 1'
_symmetry_Int_Tables_number 1
_cell_length_a 5.640
_cell_length_b 5.640
_cell_length_c 5.640
_cell_angle_alpha 60.00
_cell_angle_beta 60.00
_cell_angle_gamma 60.00
loop_
_symmetry_equiv_pos_as_xyz
'x,y,z'
loop_
_atom_site_label
_atom_site_type_symbol
_atom_site_fract_x
_atom_site_fract_y
_atom_site_fract_z
Nd1 Nd 0.000 0.000 0.000
Er1 Er 0.250 0.250 0.250
Er2 Er 0.750 0.750 0.750
Lu1 Lu 0.500 0.500 0.500
```

E_form: 0.138 eV per atom
distance to the lowest polymorph of the same formula: 110 meV/atom
density: 8.557 g cm⁻³



(5)
Entry from Alexandria: PmNdErLu after structural relaxation (PBE).

CIF file:
```
data_PmNdErLu
_chemical_formula_sum 'Pm1 Nd1 Er1 Lu1'
_symmetry_space_group_name_H-M 'P 1'
_symmetry_Int_Tables_number 1
_cell_length_a 5.692
_cell_length_b 5.692
_cell_length_c 5.692
_cell_angle_alpha 60.00
_cell_angle_beta 60.00
_cell_angle_gamma 60.00
loop_
_symmetry_equiv_pos_as_xyz
'x,y,z'
loop_
_atom_site_label
_atom_site_type_symbol
_atom_site_fract_x
_atom_site_fract_y
_atom_site_fract_z
Pm1 Pm 0.000 0.000 0.000
Nd1 Nd 0.500 0.500 0.500
Er1 Er 0.250 0.250 0.250
Lu1 Lu 0.750 0.750 0.750
```

E_form: 0.095 eV per atom
density: 8.042 g cm⁻³



(6)
Entry from Alexandria: PrNdErLu after structural relaxation (PBE).

CIF file:
```
data_PrNdErLu
_chemical_formula_sum 'Pr1 Nd1 Er1 Lu1'
_symmetry_space_group_name_H-M 'P 1'
_symmetry_Int_Tables_number 1
_cell_length_a 5.717
_cell_length_b 5.717
_cell_length_c 5.717
_cell_angle_alpha 60.00
_cell_angle_beta 60.00
_cell_angle_gamma 60.00
loop_
_symmetry_equiv_pos_as_xyz
'x,y,z'
loop_
_atom_site_label
_atom_site_type_symbol
_atom_site_fract_x
_atom_site_fract_y
_atom_site_fract_z
Pr1 Pr 0.000 0.000 0.000
Nd1 Nd 0.500 0.500 0.500
Er1 Er 0.750 0.750 0.750
Lu1 Lu 0.250 0.250 0.250
```

E_form: 0.090 eV per atom
density: 7.884 g cm⁻³